Record 1
Entry from the Alexandria database: Tb2HoLu after structural relaxation (PBE).

Cell lengths 5.614, 5.614, 5.614 Å; angles 60.00, 60.00, 60.00 degrees
Positions (direct):
Tb (0.250, 0.250, 0.250)
Tb (0.750, 0.750, 0.750)
Ho (0.000, 0.000, 0.000)
Lu (0.500, 0.500, 0.500)

Values from the calculation:
Space group ... Fm-3m, No. 225
Energy of formation from the pure elements ... 0.52 eV/f.u.
Crystal system ... cubic
Magnetization ... 0.0 μB/f.u.
Uncorrected energy ... -17.84 eV per cell
Density ... 8728 kg/m3
D(E_F) ... 8.376 states/eV/cell

=====

Record 2
Entry from the Alexandria database: CrReB3 after structural relaxation (PBE).

Cell lengths 3.711, 3.711, 3.711 Å; angles 90.00, 90.00, 90.00 degrees
Positions (direct):
Cr (0.000, 0.000, 0.000)
Re (0.500, 0.500, 0.500)
B (0.000, 0.000, 0.500)
B (0.000, 0.500, 0.000)
B (0.500, 0.000, 0.000)

Values from the calculation:
Space group ... Pm-3m, No. 221
Energy of formation from the pure elements ... 6.45 eV/f.u.
Crystal system ... cubic
Magnetization ... 0.0 μB/f.u.
Uncorrected energy ... -35.66 eV per cell
Density ... 8796 kg/m3
D(E_F) ... 1.500 states/eV/cell

=====

Record 3
Entry from the Alexandria database: TiNb6Mo5 after structural relaxation (PBE).

Cell lengths 7.239, 7.239, 6.474 Å; angles 90.00, 90.00, 143.11 degrees
Positions (direct):
Ti (0.000, 0.000, 0.000)
Nb (0.169, 0.831, 0.252)
Nb (0.169, 0.831, 0.748)
Nb (0.500, 0.500, 0.254)
Nb (0.500, 0.500, 0.746)
Nb (0.831, 0.169, 0.252)
Nb (0.831, 0.169, 0.748)
Mo (0.000, 0.000, 0.500)
Mo (0.333, 0.667, 0.500)
Mo (0.336, 0.664, 0.000)
Mo (0.664, 0.336, 0.000)
Mo (0.667, 0.333, 0.500)

Values from the calculation:
Space group ... Cmmm, No. 65
Energy of formation from the pure elements ... -1.38 eV/f.u.
Crystal system ... orthorhombic
Magnetization ... 0.0 μB/f.u.
Uncorrected energy ... -123.85 eV per cell
Density ... 8846 kg/m3
D(E_F) ... 12.999 states/eV/cell

=====

Record 4
Entry from the Alexandria database: Na2ZnCd after structural relaxation (PBE).

Cell lengths 11.449, 11.449, 11.449 Å; angles 16.49, 16.49, 16.49 degrees
Positions (direct):
Na (0.088, 0.088, 0.088)
Na (0.912, 0.912, 0.912)
Zn (0.000, 0.000, 0.000)
Cd (0.500, 0.500, 0.500)

Values from the calculation:
Space group ... R-3m, No. 166
Energy of formation from the pure elements ... 0.59 eV/f.u.
Crystal system ... trigonal
Magnetization ... 0.0 μB/f.u.
Uncorrected energy ... -4.23 eV per cell
Density ... 3526 kg/m3
D(E_F) ... 1.808 states/eV/cell

=====

Record 5
Entry from the Alexandria database: Rb2RuCl after structural relaxation (PBE).

Cell lengths 9.105, 9.105, 9.105 Å; angles 93.37, 93.37, 151.94 degrees
Positions (direct):
Rb (0.375, 0.178, 0.303)
Rb (0.822, 0.125, 0.197)
Rb (0.875, 0.072, 0.697)
Rb (0.928, 0.625, 0.803)
Ru (0.250, 0.750, 0.500)
Ru (0.500, 0.500, 0.000)
Cl (0.000, 0.000, 0.000)
Cl (0.750, 0.250, 0.500)

Values from the calculation:
Space group ... I-42d, No. 122
Crystal system ... tetragonal
Magnetization ... 0.0 μB/f.u.
Uncorrected energy ... -24.99 eV per cell
Density ... 2964 kg/m3
D(E_F) ... 7.965 states/eV/cell

=====

Record 6
Entry from the Alexandria database: Ta2InRe after structural relaxation (PBE).

Cell lengths 4.174, 4.174, 4.067 Å; angles 90.00, 90.00, 90.00 degrees
Positions (direct):
Ta (0.000, 0.500, 0.000)
Ta (0.500, 0.000, 0.000)
In (0.000, 0.000, 0.500)
Re (0.500, 0.500, 0.500)

Values from the calculation:
Space group ... P4/mmm, No. 123
Energy of formation from the pure elements ... 0.64 eV/f.u.
Crystal system ... tetragonal
Magnetization ... 0.0 μB/f.u.
Uncorrected energy ... -38.25 eV per cell
Density ... 15535 kg/m3
D(E_F) ... 3.014 states/eV/cell

=====

Record 7
Entry from the Alexandria database: IrSe2F after structural relaxation (PBE).

Cell lengths 9.106, 9.106, 9.106 Å; angles 17.97, 17.97, 17.97 degrees
Positions (direct):
Ir (0.000, 0.000, 0.000)
Se (0.090, 0.090, 0.090)
Se (0.910, 0.910, 0.910)
F (0.500, 0.500, 0.500)

Values from the calculation:
Space group ... R-3m, No. 166
Crystal system ... trigonal
Magnetization ... 0.0 μB/f.u.
Uncorrected energy ... -17.87 eV per cell
Density ... 9767 kg/m3
D(E_F) ... 3.255 states/eV/cell

=====

Record 8
Entry from the Alexandria database: Ba2Zn2Pd15 after structural relaxation (PBE).

Cell lengths 7.079, 7.079, 7.079 Å; angles 82.55, 82.55, 82.55 degrees
Positions (direct):
Ba (0.155, 0.155, 0.155)
Ba (0.845, 0.845, 0.845)
Zn (0.405, 0.405, 0.405)
Zn (0.595, 0.595, 0.595)
Pd (0.000, 0.500, 0.500)
Pd (0.158, 0.158, 0.648)
Pd (0.158, 0.648, 0.158)
Pd (0.209, 0.500, 0.791)
Pd (0.209, 0.791, 0.500)
Pd (0.352, 0.842, 0.842)
Pd (0.500, 0.000, 0.500)
Pd (0.500, 0.209, 0.791)
Pd (0.500, 0.500, 0.000)
Pd (0.500, 0.791, 0.209)
Pd (0.648, 0.158, 0.158)
Pd (0.791, 0.209, 0.500)
Pd (0.791, 0.500, 0.209)
Pd (0.842, 0.352, 0.842)
Pd (0.842, 0.842, 0.352)

Values from the calculation:
Space group ... R-3m, No. 166
Energy of formation from the pure elements ... -5.12 eV/f.u.
Crystal system ... trigonal
Magnetization ... 0.0 μB/f.u.
Uncorrected energy ... -89.41 eV per cell
Density ... 9594 kg/m3
D(E_F) ... 23.269 states/eV/cell

=====

Record 9
Entry from the Alexandria database: RbOs2Br after structural relaxation (PBE).

Cell lengths 9.456, 9.456, 9.456 Å; angles 149.63, 149.63, 43.48 degrees
Positions (direct):
Rb (0.000, 0.000, 0.000)
Rb (0.750, 0.250, 0.500)
Os (0.354, 0.625, 0.229)
Os (0.375, 0.604, 0.729)
Os (0.396, 0.125, 0.771)
Os (0.875, 0.646, 0.271)
Br (0.250, 0.750, 0.500)
Br (0.500, 0.500, 0.000)

Values from the calculation:
Space group ... I-42d, No. 122
Crystal system ... tetragonal
Magnetization ... 0.0 μB/f.u.
Uncorrected energy ... -39.34 eV per cell
Density ... 8412 kg/m3
D(E_F) ... 7.618 states/eV/cell

=====

Record 10
Entry from the Alexandria database: Cr2CuAs after structural relaxation (PBE).

Cell lengths 8.121, 8.121, 8.121 Å; angles 19.95, 19.95, 19.95 degrees
Positions (direct):
Cr (0.000, 0.000, 0.000)
Cr (0.266, 0.266, 0.266)
Cu (0.754, 0.754, 0.754)
As (0.514, 0.514, 0.514)

Values from the calculation:
Space group ... R3m, No. 160
Energy of formation from the pure elements ... 1.18 eV/f.u.
Crystal system ... trigonal
Magnetization ... 0.0 μB/f.u.
Uncorrected energy ... -26.82 eV per cell
Density ... 7383 kg/m3
D(E_F) ... 1.957 states/eV/cell

=====

Record 11
Entry from the Alexandria database: NdTmZnGa after structural relaxation (PBE).

Cell lengths 5.111, 5.111, 5.111 Å; angles 60.00, 60.00, 60.00 degrees
Positions (direct):
Nd (0.000, 0.000, 0.000)
Tm (0.500, 0.500, 0.500)
Zn (0.250, 0.250, 0.250)
Ga (0.750, 0.750, 0.750)

Values from the calculation:
Space group ... F-43m, No. 216
Energy of formation from the pure elements ... -1.80 eV/f.u.
Crystal system ... cubic
Magnetization ... 0.0 μB/f.u.
Uncorrected energy ... -15.34 eV per cell
Density ... 7888 kg/m3
D(E_F) ... 3.328 states/eV/cell

=====

Record 12
Entry from the Alexandria database: Rh3Cl5 after structural relaxation (PBE).

Cell lengths 6.032, 8.606, 7.423 Å; angles 90.00, 104.90, 90.00 degrees
Positions (direct):
Rh (0.000, 0.000, 0.000)
Rh (0.040, 0.500, 0.795)
Rh (0.088, 0.000, 0.670)
Rh (0.218, 0.500, 0.489)
Rh (0.540, 0.000, 0.845)
Rh (0.720, 0.500, 0.982)
Cl (0.028, 0.000, 0.335)
Cl (0.162, 0.270, 0.669)
Cl (0.162, 0.730, 0.669)
Cl (0.339, 0.500, 0.060)
Cl (0.399, 0.000, 0.103)
Cl (0.610, 0.500, 0.653)
Cl (0.659, 0.000, 0.572)
Cl (0.769, 0.226, 0.947)
Cl (0.769, 0.774, 0.947)
Cl (0.844, 0.500, 0.307)

Values from the calculation:
Space group ... Pm, No. 6
Crystal system ... monoclinic
Magnetization ... 0.0 μB/f.u.
Uncorrected energy ... -64.45 eV per cell
Density ... 4335 kg/m3
D(E_F) ... 13.038 states/eV/cell

=====

> Look up the uncorrected energy of the sixth one.

-38.25 eV per cell